# Sm2V2C3, relaxed, DFT PBE-GGA
# DOS at the Fermi energy, states/eV per cell: 11.73
# Energy of formation, meV per atom: -306
# Mass density, g/cm3: 6.97
# Magnetization, μB/f.u.: 0.9
data_Sm2V2C3
_cell_length_a 11.8579
_cell_length_b 3.3973
_cell_length_c 5.7356
_cell_angle_alpha 90.00
_cell_angle_beta 115.21
_cell_angle_gamma 90.00
_symmetry_space_group_name_H-M 'P 1'
_symmetry_Int_Tables_number 1
loop_
_symmetry_equiv_pos_as_xyz
'x,y,z'
loop_
_atom_site_label
_atom_site_type_symbol
_atom_site_fract_x
_atom_site_fract_y
_atom_site_fract_z
Sm1 Sm 0.1037 0.0000 0.3189
Sm2 Sm 0.3963 0.5000 0.6811
Sm3 Sm 0.6037 0.5000 0.3189
Sm4 Sm 0.8963 0.0000 0.6811
V1 V 0.1628 0.5000 0.8211
V2 V 0.3372 0.0000 0.1789
V3 V 0.6628 0.0000 0.8211
V4 V 0.8372 0.5000 0.1789
C1 C 0.0000 0.5000 0.5000
C2 C 0.2492 0.5000 0.2138
C3 C 0.2508 0.0000 0.7862
C4 C 0.5000 0.0000 0.5000
C5 C 0.7492 0.0000 0.2138
C6 C 0.7508 0.5000 0.7862

---

# Si2TcBSb, relaxed, DFT PBE-GGA
# DOS at the Fermi energy, states/eV per cell: 4.52
# Mass density, g/cm3: 4.33
# Formation energy (no corrections), meV per atom: 1200
# Magnetization, μB/f.u.: 0.0
data_Si2TcBSb
_cell_length_a 4.5369
_cell_length_b 4.5369
_cell_length_c 5.3432
_cell_angle_alpha 90.00
_cell_angle_beta 90.00
_cell_angle_gamma 90.00
_symmetry_space_group_name_H-M 'P 1'
_symmetry_Int_Tables_number 1
loop_
_symmetry_equiv_pos_as_xyz
'x,y,z'
loop_
_atom_site_label
_atom_site_type_symbol
_atom_site_fract_x
_atom_site_fract_y
_atom_site_fract_z
Si1 Si 0.0000 0.5000 0.0000
Si2 Si 0.5000 0.0000 0.0000
Tc1 Tc 0.0000 0.0000 0.0000
B1 B 0.5000 0.5000 0.5000
Sb1 Sb 0.0000 0.0000 0.5000

---

# Tl2SnSbTe5, relaxed, DFT PBE-GGA
# DOS at the Fermi energy, states/eV per cell: 9.57
# Mass density, g/cm3: 6.76
# Formation energy (no corrections), meV per atom: -163
# Magnetization, μB/f.u.: 0.0
data_Tl2SnSbTe5
_cell_length_a 10.6943
_cell_length_b 10.6943
_cell_length_c 14.0587
_cell_angle_alpha 90.00
_cell_angle_beta 90.00
_cell_angle_gamma 156.83
_symmetry_space_group_name_H-M 'P 1'
_symmetry_Int_Tables_number 1
loop_
_symmetry_equiv_pos_as_xyz
'x,y,z'
loop_
_atom_site_label
_atom_site_type_symbol
_atom_site_fract_x
_atom_site_fract_y
_atom_site_fract_z
Tl1 Tl 0.1180 0.8820 0.5000
Tl2 Tl 0.1304 0.8696 0.1448
Tl3 Tl 0.8696 0.1304 0.6448
Tl4 Tl 0.8820 0.1180 0.0000
Sn1 Sn 0.4402 0.5598 0.2446
Sn2 Sn 0.5598 0.4402 0.7446
Sb1 Sb 0.2111 0.7889 0.8506
Sb2 Sb 0.7889 0.2111 0.3506
Te1 Te 0.0397 0.9603 0.8744
Te2 Te 0.2843 0.7157 0.5000
Te3 Te 0.3126 0.6874 0.1831
Te4 Te 0.3458 0.6542 0.8212
Te5 Te 0.4842 0.5158 0.5834
Te6 Te 0.5158 0.4842 0.0834
Te7 Te 0.6542 0.3458 0.3212
Te8 Te 0.6874 0.3126 0.6831
Te9 Te 0.7157 0.2843 0.0000
Te10 Te 0.9603 0.0397 0.3744

---

# Hf2GePd, relaxed, DFT PBE-GGA
# DOS at the Fermi energy, states/eV per cell: 3.79
# Energy of formation, meV per atom: -541
# Mass density, g/cm3: 12.17
# Magnetization, μB/f.u.: 0.0
data_Hf2GePd
_cell_length_a 4.3892
_cell_length_b 4.3892
_cell_length_c 3.7976
_cell_angle_alpha 90.00
_cell_angle_beta 90.00
_cell_angle_gamma 90.00
_symmetry_space_group_name_H-M 'P 1'
_symmetry_Int_Tables_number 1
loop_
_symmetry_equiv_pos_as_xyz
'x,y,z'
loop_
_atom_site_label
_atom_site_type_symbol
_atom_site_fract_x
_atom_site_fract_y
_atom_site_fract_z
Hf1 Hf 0.0000 0.5000 0.0000
Hf2 Hf 0.5000 0.0000 0.0000
Ge1 Ge 0.0000 0.0000 0.5000
Pd1 Pd 0.5000 0.5000 0.5000

---

# RePt4Rh4, relaxed, DFT PBE-GGA
# DOS at the Fermi energy, states/eV per cell: 11.59
# Energy of formation, meV per atom: -85
# Mass density, g/cm3: 17.12
# Magnetization, μB/f.u.: 0.0
data_RePt4Rh4
_cell_length_a 4.7841
_cell_length_b 4.7854
_cell_length_c 6.1528
_cell_angle_alpha 82.60
_cell_angle_beta 74.97
_cell_angle_gamma 80.62
_symmetry_space_group_name_H-M 'P 1'
_symmetry_Int_Tables_number 1
loop_
_symmetry_equiv_pos_as_xyz
'x,y,z'
loop_
_atom_site_label
_atom_site_type_symbol
_atom_site_fract_x
_atom_site_fract_y
_atom_site_fract_z
Re1 Re 0.0000 0.0000 0.0000
Pt1 Pt 0.4354 0.8972 0.2233
Pt2 Pt 0.5468 0.1163 0.7804
Pt3 Pt 0.6645 0.3314 0.3343
Pt4 Pt 0.7775 0.5579 0.8900
Rh1 Rh 0.1048 0.2299 0.5617
Rh2 Rh 0.2063 0.4555 0.1069
Rh3 Rh 0.3185 0.6854 0.6701
Rh4 Rh 0.8849 0.7809 0.4381

---

# LiZnRu2, relaxed, DFT PBE-GGA
# DOS at the Fermi energy, states/eV per cell: 10.22
# Energy of formation, meV per atom: 225
# Mass density, g/cm3: 8.26
# Magnetization, μB/f.u.: 0.0
data_LiZnRu2
_cell_length_a 4.9893
_cell_length_b 8.2940
_cell_length_c 2.6663
_cell_angle_alpha 90.00
_cell_angle_beta 90.00
_cell_angle_gamma 90.00
_symmetry_space_group_name_H-M 'P 1'
_symmetry_Int_Tables_number 1
loop_
_symmetry_equiv_pos_as_xyz
'x,y,z'
loop_
_atom_site_label
_atom_site_type_symbol
_atom_site_fract_x
_atom_site_fract_y
_atom_site_fract_z
Li1 Li 0.0000 0.0000 0.0000
Li2 Li 0.5000 0.5000 0.0000
Zn1 Zn 0.0000 0.5000 0.0000
Zn2 Zn 0.5000 0.0000 0.0000
Ru1 Ru 0.2500 0.2500 0.5000
Ru2 Ru 0.2500 0.7500 0.5000
Ru3 Ru 0.7500 0.2500 0.5000
Ru4 Ru 0.7500 0.7500 0.5000

---

# NaGe3Ir2, relaxed, DFT PBE-GGA
# DOS at the Fermi energy, states/eV per cell: 5.17
# Energy of formation, meV per atom: -137
# Mass density, g/cm3: 9.80
# Magnetization, μB/f.u.: 0.0
data_NaGe3Ir2
_cell_length_a 6.1988
_cell_length_b 6.1988
_cell_length_c 5.5895
_cell_angle_alpha 90.00
_cell_angle_beta 90.00
_cell_angle_gamma 80.76
_symmetry_space_group_name_H-M 'P 1'
_symmetry_Int_Tables_number 1
loop_
_symmetry_equiv_pos_as_xyz
'x,y,z'
loop_
_atom_site_label
_atom_site_type_symbol
_atom_site_fract_x
_atom_site_fract_y
_atom_site_fract_z
Na1 Na 0.0869 0.9131 0.7500
Na2 Na 0.9131 0.0869 0.2500
Ge1 Ge 0.0714 0.6164 0.2500
Ge2 Ge 0.3836 0.9286 0.2500
Ge3 Ge 0.4256 0.5744 0.7500
Ge4 Ge 0.5744 0.4256 0.2500
Ge5 Ge 0.6164 0.0714 0.7500
Ge6 Ge 0.9286 0.3836 0.7500
Ir1 Ir 0.2900 0.2900 0.0000
Ir2 Ir 0.2900 0.2900 0.5000
Ir3 Ir 0.7100 0.7100 0.0000
Ir4 Ir 0.7100 0.7100 0.5000

---

# LaZrOs, relaxed, DFT PBE-GGA
# DOS at the Fermi energy, states/eV per cell: 8.79
# Energy of formation, meV per atom: -88
# Energy above the most stable polymorph in this dataset, eV/f.u.: 0.55
# Mass density, g/cm3: 9.22
# Magnetization, μB/f.u.: 0.0
data_LaZrOs
_cell_length_a 11.5642
_cell_length_b 4.5104
_cell_length_c 5.9495
_cell_angle_alpha 90.00
_cell_angle_beta 102.69
_cell_angle_gamma 90.00
_symmetry_space_group_name_H-M 'P 1'
_symmetry_Int_Tables_number 1
loop_
_symmetry_equiv_pos_as_xyz
'x,y,z'
loop_
_atom_site_label
_atom_site_type_symbol
_atom_site_fract_x
_atom_site_fract_y
_atom_site_fract_z
La1 La 0.1278 0.0000 0.3162
La2 La 0.3722 0.5000 0.6838
La3 La 0.6278 0.5000 0.3162
La4 La 0.8722 0.0000 0.6838
Zr1 Zr 0.0995 0.5000 0.8212
Zr2 Zr 0.4005 0.0000 0.1788
Zr3 Zr 0.5995 0.0000 0.8212
Zr4 Zr 0.9005 0.5000 0.1788
Os1 Os 0.2210 0.0000 0.8194
Os2 Os 0.2790 0.5000 0.1806
Os3 Os 0.7210 0.5000 0.8194
Os4 Os 0.7790 0.0000 0.1806

---

# NaPm2ZnAu4, relaxed, DFT PBE-GGA
# DOS at the Fermi energy, states/eV per cell: 4.57
# Energy of formation, meV per atom: -589
# Mass density, g/cm3: 10.92
# Magnetization, μB/f.u.: 0.0
data_NaPm2ZnAu4
_cell_length_a 8.4976
_cell_length_b 8.4976
_cell_length_c 8.4976
_cell_angle_alpha 34.69
_cell_angle_beta 34.69
_cell_angle_gamma 34.69
_symmetry_space_group_name_H-M 'P 1'
_symmetry_Int_Tables_number 1
loop_
_symmetry_equiv_pos_as_xyz
'x,y,z'
loop_
_atom_site_label
_atom_site_type_symbol
_atom_site_fract_x
_atom_site_fract_y
_atom_site_fract_z
Na1 Na 0.0000 0.0000 0.0000
Pm1 Pm 0.2469 0.2469 0.2469
Pm2 Pm 0.7531 0.7531 0.7531
Zn1 Zn 0.5000 0.5000 0.5000
Au1 Au 0.1226 0.1226 0.1226
Au2 Au 0.3809 0.3809 0.3809
Au3 Au 0.6191 0.6191 0.6191
Au4 Au 0.8774 0.8774 0.8774

---

# AlP2NO, relaxed, DFT PBE-GGA
# DOS at the Fermi energy, states/eV per cell: 2.73
# Energy above the most stable polymorph in this dataset, eV/f.u.: 0.63
# Mass density, g/cm3: 2.66
# Formation energy (no corrections), meV per atom: 902
# Magnetization, μB/f.u.: 0.0
data_AlP2NO
_cell_length_a 4.6806
_cell_length_b 4.6806
_cell_length_c 3.3918
_cell_angle_alpha 90.00
_cell_angle_beta 90.00
_cell_angle_gamma 90.00
_symmetry_space_group_name_H-M 'P 1'
_symmetry_Int_Tables_number 1
loop_
_symmetry_equiv_pos_as_xyz
'x,y,z'
loop_
_atom_site_label
_atom_site_type_symbol
_atom_site_fract_x
_atom_site_fract_y
_atom_site_fract_z
Al1 Al 0.0000 0.0000 0.0000
P1 P 0.0000 0.5000 0.0000
P2 P 0.5000 0.0000 0.0000
N1 N 0.5000 0.5000 0.5000
O1 O 0.0000 0.0000 0.5000

---

# Te2RuPb, relaxed, DFT PBE-GGA
# DOS at the Fermi energy, states/eV per cell: 7.03
# Mass density, g/cm3: 8.99
# Formation energy (no corrections), meV per atom: 481
# Magnetization, μB/f.u.: 0.0
data_Te2RuPb
_cell_length_a 5.9153
_cell_length_b 5.9153
_cell_length_c 5.9457
_cell_angle_alpha 90.00
_cell_angle_beta 90.00
_cell_angle_gamma 90.00
_symmetry_space_group_name_H-M 'P 1'
_symmetry_Int_Tables_number 1
loop_
_symmetry_equiv_pos_as_xyz
'x,y,z'
loop_
_atom_site_label
_atom_site_type_symbol
_atom_site_fract_x
_atom_site_fract_y
_atom_site_fract_z
Te1 Te 0.0000 0.5000 0.0000
Te2 Te 0.0000 0.5000 0.5000
Te3 Te 0.5000 0.0000 0.0000
Te4 Te 0.5000 0.0000 0.5000
Ru1 Ru 0.0000 0.0000 0.0000
Ru2 Ru 0.5000 0.5000 0.5000
Pb1 Pb 0.0000 0.0000 0.5000
Pb2 Pb 0.5000 0.5000 0.0000

---

# Cd2Pb3, relaxed, DFT PBE-GGA
# DOS at the Fermi energy, states/eV per cell: 4.23
# Energy of formation, meV per atom: 44
# Energy above the most stable polymorph in this dataset, eV/f.u.: 0.01
# Mass density, g/cm3: 9.91
# Magnetization, μB/f.u.: 0.0
data_Cd2Pb3
_cell_length_a 3.4773
_cell_length_b 3.4773
_cell_length_c 23.4551
_cell_angle_alpha 90.00
_cell_angle_beta 90.00
_cell_angle_gamma 90.00
_symmetry_space_group_name_H-M 'P 1'
_symmetry_Int_Tables_number 1
loop_
_symmetry_equiv_pos_as_xyz
'x,y,z'
loop_
_atom_site_label
_atom_site_type_symbol
_atom_site_fract_x
_atom_site_fract_y
_atom_site_fract_z
Cd1 Cd 0.0000 0.0000 0.0979
Cd2 Cd 0.0000 0.0000 0.9021
Cd3 Cd 0.5000 0.5000 0.4021
Cd4 Cd 0.5000 0.5000 0.5979
Pb1 Pb 0.0000 0.0000 0.3041
Pb2 Pb 0.0000 0.0000 0.5000
Pb3 Pb 0.0000 0.0000 0.6959
Pb4 Pb 0.5000 0.5000 0.0000
Pb5 Pb 0.5000 0.5000 0.1959
Pb6 Pb 0.5000 0.5000 0.8041

---

# HoZrHg4, relaxed, DFT PBE-GGA
# DOS at the Fermi energy, states/eV per cell: 2.76
# Energy of formation, meV per atom: -200
# Energy above the most stable polymorph in this dataset, eV/f.u.: 0.00
# Mass density, g/cm3: 12.69
# Magnetization, μB/f.u.: 0.2
data_HoZrHg4
_cell_length_a 3.3769
_cell_length_b 3.3769
_cell_length_c 12.1477
_cell_angle_alpha 90.00
_cell_angle_beta 90.00
_cell_angle_gamma 90.00
_symmetry_space_group_name_H-M 'P 1'
_symmetry_Int_Tables_number 1
loop_
_symmetry_equiv_pos_as_xyz
'x,y,z'
loop_
_atom_site_label
_atom_site_type_symbol
_atom_site_fract_x
_atom_site_fract_y
_atom_site_fract_z
Ho1 Ho 0.0000 0.0000 0.0000
Zr1 Zr 0.5000 0.5000 0.5000
Hg1 Hg 0.0000 0.0000 0.3404
Hg2 Hg 0.0000 0.0000 0.6596
Hg3 Hg 0.5000 0.5000 0.1702
Hg4 Hg 0.5000 0.5000 0.8298

---

# NaPrHfZrO6, relaxed, DFT PBE-GGA
# DOS at the Fermi energy, states/eV per cell: 0.00
# Mass density, g/cm3: 6.24
# Formation energy (no corrections), meV per atom: -3023
# Magnetization, μB/f.u.: 0.0
data_NaPrHfZrO6
_cell_length_a 5.8421
_cell_length_b 5.8421
_cell_length_c 5.8421
_cell_angle_alpha 60.00
_cell_angle_beta 60.00
_cell_angle_gamma 60.00
_symmetry_space_group_name_H-M 'P 1'
_symmetry_Int_Tables_number 1
loop_
_symmetry_equiv_pos_as_xyz
'x,y,z'
loop_
_atom_site_label
_atom_site_type_symbol
_atom_site_fract_x
_atom_site_fract_y
_atom_site_fract_z
Na1 Na 0.0000 0.0000 0.0000
Pr1 Pr 0.5000 0.5000 0.5000
Hf1 Hf 0.7500 0.7500 0.7500
Zr1 Zr 0.2500 0.2500 0.2500
O1 O 0.5018 0.5018 0.9982
O2 O 0.5018 0.9982 0.5018
O3 O 0.5018 0.9982 0.9982
O4 O 0.9982 0.5018 0.5018
O5 O 0.9982 0.5018 0.9982
O6 O 0.9982 0.9982 0.5018

---

# HfCuIr, relaxed, DFT PBE-GGA
# DOS at the Fermi energy, states/eV per cell: 7.27
# Energy of formation, meV per atom: -530
# Energy above the most stable polymorph in this dataset, eV/f.u.: 0.34
# Mass density, g/cm3: 14.94
# Magnetization, μB/f.u.: 0.0
data_HfCuIr
_cell_length_a 8.4281
_cell_length_b 4.3080
_cell_length_c 5.3369
_cell_angle_alpha 90.00
_cell_angle_beta 94.94
_cell_angle_gamma 90.00
_symmetry_space_group_name_H-M 'P 1'
_symmetry_Int_Tables_number 1
loop_
_symmetry_equiv_pos_as_xyz
'x,y,z'
loop_
_atom_site_label
_atom_site_type_symbol
_atom_site_fract_x
_atom_site_fract_y
_atom_site_fract_z
Hf1 Hf 0.0000 0.0000 0.0000
Hf2 Hf 0.1212 0.5000 0.5657
Hf3 Hf 0.5000 0.5000 0.0000
Hf4 Hf 0.6212 0.0000 0.5657
Cu1 Cu 0.3185 0.0000 0.2805
Cu2 Cu 0.4228 0.5000 0.4912
Cu3 Cu 0.8185 0.5000 0.2805
Cu4 Cu 0.9228 0.0000 0.4912
Ir1 Ir 0.1859 0.5000 0.0689
Ir2 Ir 0.3183 0.0000 0.7708
Ir3 Ir 0.6859 0.0000 0.0689
Ir4 Ir 0.8183 0.5000 0.7708